# La2ReNiO6 PBE+U relaxed
# - VASP energy (eV/atom) = -7.692
data_La2ReNiO6
_chemical_formula_sum 'La8 Re4 Ni4 O24'
_space_group_name_H-M_alt 'F m -3 m'
_space_group_IT_number 225
_space_group_name_Hall '-F 4 2 3'
_cell_length_a 7.9655
_cell_length_b 7.9655
_cell_length_c 7.9655
_cell_angle_alpha 90.00
_cell_angle_beta 90.00
_cell_angle_gamma 90.00
loop_
_atom_site_label
_atom_site_type_symbol
_atom_site_fract_x
_atom_site_fract_y
_atom_site_fract_z
La1 La 0.2500 0.2500 0.2500
Re1 Re 0.0000 0.0000 0.0000
Ni1 Ni 0.0000 0.0000 0.5000
O1 O 0.0000 0.0000 0.2499